# CrGaF (PBE+U, optimized geometry)
# Theoretical density (g cm⁻³): 3.88
# Size of the total moment (μB/cell): 8.27
# E_tot (eV/cell): -30.46
# Energy relative to the lowest polymorph listed for this composition (meV/atom): 0
data_CrGaF
_chemical_formula_sum 'Cr2 Ga2 F2'
_cell_length_a 3.080
_cell_length_b 6.365
_cell_length_c 6.383
_cell_angle_alpha 97.38
_cell_angle_beta 103.77
_cell_angle_gamma 90.19
_space_group_name_H-M_alt 'P 1'
_space_group_IT_number 1
loop_
_space_group_symop_operation_xyz
'x,y,z'
loop_
_atom_site_label
_atom_site_fract_x
_atom_site_fract_y
_atom_site_fract_z
_atom_site_occupancy
Cr1 0.000 0.000 0.000 1
Cr2 0.294 0.614 0.589 1
Ga1 0.345 0.139 0.689 1
Ga2 0.676 0.126 0.350 1
F1 0.690 0.586 0.379 1
F2 0.902 0.657 0.809 1